(1)
# CuRhSe2N

A relaxed structure of CuRhSe2N (GGA-PBE, Alexandria).

Cell lengths 5.119, 5.119, 3.596 Å; angles 90.00, 90.00, 90.00 degrees
Positions (direct):
Cu (0.000, 0.000, 0.000)
Rh (0.500, 0.500, 0.500)
Se (0.000, 0.500, 0.500)
Se (0.500, 0.000, 0.500)
N (0.500, 0.500, 0.000)

Values from the calculation:
**Space-group type**: P4/mmm, No. 123
**Energy relative to the elements, uncorrected**: 0.6396 eV/atom
**Excess energy over the best structure of this formula in the dataset**: 0 meV per atom
**N(E_F)**: 4.27 states/eV/f.u.
**V**: 94 Å³ per cell

***

(2)
# TlCuRh2N

A relaxed structure of TlCuRh2N (GGA-PBE, Alexandria).

Cell lengths 5.091, 5.091, 4.877 Å; angles 90.00, 90.00, 90.00 degrees
Positions (direct):
Tl (0.000, 0.000, 0.000)
Cu (0.000, 0.000, 0.500)
Rh (0.000, 0.500, 0.000)
Rh (0.500, 0.000, 0.000)
N (0.500, 0.500, 0.500)

Values from the calculation:
**Space-group type**: P4/mmm, No. 123
**Energy relative to the elements, uncorrected**: 2.4615 eV/atom
**N(E_F)**: 7.87 states/eV/f.u.
**V**: 126 Å³ per cell

***

(3)
# Tl2CuRhN

A relaxed structure of Tl2CuRhN (GGA-PBE, Alexandria).

Cell lengths 5.402, 5.402, 3.390 Å; angles 90.00, 90.00, 90.00 degrees
Positions (direct):
Tl (0.000, 0.500, 0.000)
Tl (0.500, 0.000, 0.000)
Cu (0.000, 0.000, 0.000)
Rh (0.500, 0.500, 0.500)
N (0.000, 0.000, 0.500)

Values from the calculation:
**Space-group type**: P4/mmm, No. 123
**Energy relative to the elements, uncorrected**: 0.7866 eV/atom
**N(E_F)**: 4.50 states/eV/f.u.
**V**: 99 Å³ per cell

***

(4)
# ZnCuRh2N

A relaxed structure of ZnCuRh2N (GGA-PBE, Alexandria).

Cell lengths 4.069, 4.069, 3.847 Å; angles 90.00, 90.00, 90.00 degrees
Positions (direct):
Zn (0.000, 0.000, 0.000)
Cu (0.500, 0.500, 0.000)
Rh (0.000, 0.500, 0.500)
Rh (0.500, 0.000, 0.500)
N (0.500, 0.500, 0.500)

Values from the calculation:
**Space-group type**: P4/mmm, No. 123
**Energy relative to the elements, uncorrected**: 0.0560 eV/atom
**N(E_F)**: 4.08 states/eV/f.u.
**V**: 64 Å³ per cell

***

(5)
# ZnCuRhN2

A relaxed structure of ZnCuRhN2 (GGA-PBE, Alexandria).

Cell lengths 3.722, 3.722, 4.561 Å; angles 90.00, 90.00, 90.00 degrees
Positions (direct):
Zn (0.000, 0.000, 0.000)
Cu (0.000, 0.000, 0.500)
Rh (0.500, 0.500, 0.000)
N (0.000, 0.500, 0.500)
N (0.500, 0.000, 0.500)

Values from the calculation:
**Space-group type**: P4/mmm, No. 123
**Energy relative to the elements, uncorrected**: 1.5625 eV/atom
**N(E_F)**: 3.47 states/eV/f.u.
**V**: 63 Å³ per cell

***

(6)
# Cu2Ru2N

A relaxed structure of Cu2Ru2N (GGA-PBE, Alexandria).

Cell lengths 5.372, 5.372, 4.416 Å; angles 90.00, 90.00, 90.00 degrees
Positions (direct):
Cu (0.157, 0.343, 0.000)
Cu (0.343, 0.843, 0.000)
Cu (0.657, 0.157, 0.000)
Cu (0.843, 0.657, 0.000)
Ru (0.173, 0.673, 0.500)
Ru (0.327, 0.173, 0.500)
Ru (0.673, 0.827, 0.500)
Ru (0.827, 0.327, 0.500)
N (0.000, 0.000, 0.500)
N (0.500, 0.500, 0.500)

Values from the calculation:
**Space-group type**: P4/mbm, No. 127
**Energy relative to the elements, uncorrected**: 0.3795 eV/atom
**Excess energy over the best structure of this formula in the dataset**: 0 meV per atom
**N(E_F)**: 7.88 states/eV/f.u.
**V**: 127 Å³ per cell

***

Question: The lowest N(E_F) belongs to which entry?
Answer: ZnCuRhN2

***

Question: The lowest V belongs to which entry?
Answer: ZnCuRhN2